1.
VASP calculation (PBE) on a relaxed ZrZn2Ni2 crystal.

```
data_ZrZn2Ni2
_cell_length_a 7.243
_cell_length_b 7.243
_cell_length_c 2.718
_cell_angle_alpha 90.00
_cell_angle_beta 90.00
_cell_angle_gamma 90.00
_space_group_name_H-M_alt 'P 4/m b m'
_space_group_IT_number 127
_space_group_name_Hall '-P 4 2ab'
loop_
_atom_site_label
_atom_site_type_symbol
_atom_site_fract_x
_atom_site_fract_y
_atom_site_fract_z
_atom_site_occupancy
Zr1 Zr 0.000 0.000 0.000 1
Zn1 Zn 0.121 0.379 0.000 1
Ni1 Ni 0.177 0.677 0.500 1
```

Output
relative energy among the computed polymorphs = 20.0 meV per atom
energy of formation = -0.240 eV per atom
volume = 14.255 Å³/atom
D(E_F) = 0.55 states/eV per atom

***

2.
VASP calculation (PBE) on a relaxed ZrZn2Ni crystal.

```
data_ZrZn2Ni
_cell_length_a 5.320
_cell_length_b 8.916
_cell_length_c 2.699
_cell_angle_alpha 90.00
_cell_angle_beta 90.00
_cell_angle_gamma 90.00
_space_group_name_H-M_alt 'C m m m'
_space_group_IT_number 65
_space_group_name_Hall '-C 2 2'
loop_
_atom_site_label
_atom_site_type_symbol
_atom_site_fract_x
_atom_site_fract_y
_atom_site_fract_z
_atom_site_occupancy
Zr1 Zr 0.000 0.000 0.000 1
Zn1 Zn 0.250 0.250 0.500 1
Ni1 Ni 0.000 0.500 0.000 1
```

Output
energy of formation = 0.005 eV per atom
volume = 16.001 Å³/atom
D(E_F) = 0.88 states/eV per atom

***

> Among the records above, which one has the highest volume?

ZrZn2Ni